Density functional theory data (PBE) for a relaxed structure of Nd2TlCuO5.

a b c (Å): 6.8524 6.8524 5.6930
angles (deg): 90.00 90.00 90.00
Last column: nearest neighbours and their distance in Å.
Element x y z (fractional)
Nd 0.1777 0.3223 0.0000  8 O 2.38-2.56
Nd 0.3223 0.8223 0.0000  8 O 2.38-2.56
Nd 0.6777 0.1777 0.0000  8 O 2.38-2.56
Nd 0.8223 0.6777 0.0000  8 O 2.38-2.56
Tl 0.0000 0.0000 0.5000  10 O 2.85-3.04
Tl 0.5000 0.5000 0.5000  10 O 2.85-3.04
Cu 0.0000 0.5000 0.5000  4 O 1.86
Cu 0.5000 0.0000 0.5000  4 O 1.86
O 0.0000 0.0000 0.0000  4 Nd 2.52
O 0.1271 0.6271 0.2544  1 Cu 1.86
O 0.1271 0.6271 0.7456  1 Cu 1.86
O 0.3729 0.1271 0.2544  1 Cu 1.86
O 0.3729 0.1271 0.7456  1 Cu 1.86
O 0.5000 0.5000 0.0000  4 Nd 2.52
O 0.6271 0.8729 0.2544  1 Cu 1.86
O 0.6271 0.8729 0.7456  1 Cu 1.86
O 0.8729 0.3729 0.2544  1 Cu 1.86
O 0.8729 0.3729 0.7456  1 Cu 1.86

Values from the calculation:
Formation energy from raw total energies, meV/atom: -2068
E_tot, eV/f.u.: -59.40